(1)
{
  "formula": "KYBeO3",
  "functional": "PBE",
  "state": "optimized geometry",
  "raw_formation_energy_ev_per_atom": -2.659,
  "lattice_angstrom": [[7.507, 0.000, 0.000], [0.000, 3.373, 0.000], [-2.145, 0.000, 7.324]],
  "species": ["K", "K", "Y", "Y", "Be", "Be", "O", "O", "O", "O", "O", "O"],
  "frac_coords": [[0.217, 0.250, 0.188], [0.783, 0.750, 0.812], [0.166, 0.250, 0.658], [0.834, 0.750, 0.342], [0.397, 0.750, 0.936], [0.603, 0.250, 0.064], [0.147, 0.750, 0.455], [0.180, 0.750, 0.866], [0.469, 0.250, 0.863], [0.531, 0.750, 0.137], [0.820, 0.250, 0.134], [0.853, 0.250, 0.545]]
}



(2)
{
  "formula": "K2Be2ZnO4",
  "functional": "PBE",
  "state": "optimized geometry",
  "raw_formation_energy_ev_per_atom": -1.896,
  "lattice_angstrom": [[6.233, -1.502, 0.000], [6.233, 1.502, 0.000], [-1.891, 0.000, 5.734]],
  "species": ["K", "K", "Be", "Be", "Zn", "O", "O", "O", "O"],
  "frac_coords": [[0.126, 0.126, 0.024], [0.874, 0.874, 0.976], [0.321, 0.321, 0.512], [0.679, 0.679, 0.488], [0.000, 0.000, 0.500], [0.215, 0.215, 0.637], [0.451, 0.451, 0.682], [0.549, 0.549, 0.318], [0.785, 0.785, 0.363]]
}



(3)
{
  "formula": "KZrBeO2",
  "functional": "PBE",
  "state": "optimized geometry",
  "raw_formation_energy_ev_per_atom": 0.206,
  "lattice_angstrom": [[3.783, 0.000, 0.000], [0.000, 3.783, 0.000], [0.000, 0.000, 4.364]],
  "species": ["K", "Zr", "Be", "O", "O"],
  "frac_coords": [[0.000, 0.000, 0.000], [0.500, 0.500, 0.000], [0.000, 0.000, 0.500], [0.000, 0.500, 0.500], [0.500, 0.000, 0.500]]
}



(4)
{
  "formula": "KZrBeO4",
  "functional": "PBE",
  "state": "optimized geometry",
  "raw_formation_energy_ev_per_atom": -2.380,
  "lattice_angstrom": [[5.389, 0.000, 0.000], [0.000, 4.450, 0.000], [-1.861, 0.000, 7.389]],
  "species": ["K", "K", "Zr", "Zr", "Be", "Be", "O", "O", "O", "O", "O", "O", "O", "O"],
  "frac_coords": [[0.234, 0.250, 0.458], [0.766, 0.750, 0.542], [0.237, 0.250, 0.933], [0.763, 0.750, 0.067], [0.258, 0.750, 0.172], [0.742, 0.250, 0.828], [0.059, 0.750, 0.292], [0.102, 0.750, 0.958], [0.487, 0.002, 0.186], [0.487, 0.498, 0.186], [0.513, 0.502, 0.814], [0.513, 0.998, 0.814], [0.898, 0.250, 0.042], [0.941, 0.250, 0.708]]
}



(5)
{
  "formula": "K2ZrBeO4",
  "functional": "PBE",
  "state": "optimized geometry",
  "raw_formation_energy_ev_per_atom": -2.369,
  "lattice_angstrom": [[5.871, 0.000, 0.000], [0.000, 6.393, 0.000], [0.000, 0.000, 6.674]],
  "species": ["K", "K", "K", "K", "Zr", "Zr", "Be", "Be", "O", "O", "O", "O", "O", "O", "O", "O"],
  "frac_coords": [[0.250, 0.003, 0.204], [0.250, 0.497, 0.204], [0.750, 0.503, 0.796], [0.750, 0.997, 0.796], [0.250, 0.250, 0.648], [0.750, 0.750, 0.352], [0.250, 0.750, 0.670], [0.750, 0.250, 0.330], [0.021, 0.750, 0.525], [0.250, 0.520, 0.808], [0.250, 0.980, 0.808], [0.479, 0.750, 0.525], [0.521, 0.250, 0.475], [0.750, 0.020, 0.192], [0.750, 0.480, 0.192], [0.979, 0.250, 0.475]]
}



(6)
{
  "formula": "KBeOs4",
  "functional": "PBE",
  "state": "optimized geometry",
  "e_form_kj_per_mol_fu": 708,
  "lattice_angstrom": [[0.000, 3.719, 3.719], [3.719, 0.000, 3.719], [3.719, 3.719, 0.000]],
  "species": ["K", "Be", "Os", "Os", "Os", "Os"],
  "frac_coords": [[0.000, 0.000, 0.000], [0.250, 0.250, 0.250], [0.127, 0.624, 0.624], [0.624, 0.127, 0.624], [0.624, 0.624, 0.127], [0.624, 0.624, 0.624]]
}



(7)
{
  "formula": "KBeOs",
  "functional": "PBE",
  "state": "optimized geometry",
  "e_form_kj_per_mol_fu": 544,
  "polymorph_energy_kj_per_mol_fu": 360,
  "lattice_angstrom": [[6.225, 0.000, 0.000], [0.000, 6.225, 0.000], [0.000, 0.000, 6.225]],
  "species": ["K", "K", "K", "K", "Be", "Be", "Be", "Be", "Os", "Os", "Os", "Os"],
  "frac_coords": [[0.000, 0.000, 0.000], [0.000, 0.500, 0.500], [0.500, 0.000, 0.500], [0.500, 0.500, 0.000], [0.250, 0.250, 0.250], [0.250, 0.750, 0.750], [0.750, 0.250, 0.750], [0.750, 0.750, 0.250], [0.000, 0.000, 0.500], [0.000, 0.500, 0.000], [0.500, 0.000, 0.000], [0.500, 0.500, 0.500]]
}



(8)
{
  "formula": "K2BeOs2",
  "functional": "PBE",
  "state": "optimized geometry",
  "e_form_kj_per_mol_fu": 565,
  "polymorph_energy_kj_per_mol_fu": 0,
  "lattice_angstrom": [[3.503, 0.000, 0.000], [0.000, 3.503, 0.000], [0.000, 0.000, 22.316]],
  "species": ["K", "K", "K", "K", "Be", "Be", "Os", "Os", "Os", "Os"],
  "frac_coords": [[0.000, 0.000, 0.115], [0.000, 0.000, 0.885], [0.500, 0.500, 0.385], [0.500, 0.500, 0.615], [0.000, 0.000, 0.500], [0.500, 0.500, 0.000], [0.000, 0.500, 0.250], [0.000, 0.500, 0.750], [0.500, 0.000, 0.250], [0.500, 0.000, 0.750]]
}



(9)
{
  "formula": "KBeOs",
  "functional": "PBE",
  "state": "optimized geometry",
  "e_form_kj_per_mol_fu": 184,
  "polymorph_energy_kj_per_mol_fu": 0,
  "lattice_angstrom": [[3.110, 0.000, 0.000], [0.000, 3.110, 0.000], [0.000, 0.000, 11.914]],
  "species": ["K", "K", "Be", "Be", "Os", "Os"],
  "frac_coords": [[0.000, 0.000, 0.000], [0.500, 0.500, 0.500], [0.000, 0.000, 0.737], [0.500, 0.500, 0.237], [0.000, 0.000, 0.273], [0.500, 0.500, 0.773]]
}



(10)
{
  "formula": "KBeOs",
  "functional": "PBE",
  "state": "optimized geometry",
  "e_form_kj_per_mol_fu": 273,
  "polymorph_energy_kj_per_mol_fu": 89,
  "lattice_angstrom": [[3.195, 0.000, 0.000], [0.000, 4.445, 0.000], [0.000, 0.000, 14.856]],
  "species": ["K", "K", "K", "K", "Be", "Be", "Be", "Be", "Os", "Os", "Os", "Os"],
  "frac_coords": [[0.000, 0.000, 0.000], [0.000, 0.500, 0.500], [0.500, 0.000, 0.500], [0.500, 0.500, 0.000], [0.000, 0.000, 0.296], [0.000, 0.500, 0.796], [0.500, 0.000, 0.796], [0.500, 0.500, 0.296], [0.000, 0.000, 0.687], [0.000, 0.500, 0.187], [0.500, 0.000, 0.187], [0.500, 0.500, 0.687]]
}



(11)
{
  "formula": "KBe4Os",
  "functional": "PBE",
  "state": "optimized geometry",
  "e_form_kj_per_mol_fu": 478,
  "lattice_angstrom": [[0.000, 3.336, 3.336], [3.336, 0.000, 3.336], [3.336, 3.336, 0.000]],
  "species": ["K", "Be", "Be", "Be", "Be", "Os"],
  "frac_coords": [[0.000, 0.000, 0.000], [0.379, 0.379, 0.379], [0.379, 0.379, 0.862], [0.379, 0.862, 0.379], [0.862, 0.379, 0.379], [0.750, 0.750, 0.750]]
}



(12)
{
  "formula": "KBeOs",
  "functional": "PBE",
  "state": "optimized geometry",
  "e_form_kj_per_mol_fu": 270,
  "polymorph_energy_kj_per_mol_fu": 86,
  "lattice_angstrom": [[2.824, 0.000, 0.000], [-1.412, 2.445, 0.000], [0.000, 0.000, 7.573]],
  "species": ["K", "Be", "Os"],
  "frac_coords": [[0.000, 0.000, 0.000], [0.333, 0.667, 0.598], [0.667, 0.333, 0.375]]
}